# 1
VASP calculation (SCAN) on a PBEsol-optimized structure of Ir3Pt.

* formation energy: 0.047 eV per atom
* symmetry: R-3m (166)

Cell: 9.0113 9.0113 9.0113 Å, 17.41 17.41 17.41°
Positions (direct):
Ir: 0.0000 0.0000 0.0000
Ir: 0.2517 0.2517 0.2517
Ir: 0.7483 0.7483 0.7483
Pt: 0.5000 0.5000 0.5000

# 2
VASP calculation (SCAN) on a PBEsol-optimized structure of Ir2Pt.

* formation energy: 0.107 eV per atom
* distance to the lowest polymorph of the same formula: 44.9 meV per atom
* symmetry: Pnma (62)

Cell: 5.4552 3.8613 8.1798 Å, 90.00 90.00 90.00°
Positions (direct):
Ir: 0.1228 0.2500 0.0824
Ir: 0.1240 0.2500 0.7545
Ir: 0.3760 0.7500 0.2545
Ir: 0.3772 0.7500 0.5824
Ir: 0.6228 0.2500 0.4176
Ir: 0.6240 0.2500 0.7455
Ir: 0.8760 0.7500 0.2455
Ir: 0.8772 0.7500 0.9176
Pt: 0.1252 0.2500 0.4145
Pt: 0.3748 0.7500 0.9145
Pt: 0.6252 0.2500 0.0855
Pt: 0.8748 0.7500 0.5855